Sr3MgPt8 | GGA-PBE | optimized geometry

Lattice parameters (Å, degrees): 5.5183 5.5183 9.5096 73.13 73.13 60.00
Closest atoms and distances in Å follow each position.
Sites, in units of the cell vectors:
Pt: 0.6875 0.6875 0.9376  6 Pt 2.78-2.79
Pt: 0.4366 0.4366 0.1932  6 Pt 2.70-2.78
Pt: 0.4366 0.9337 0.1932  6 Pt 2.70-2.78
Pt: 0.1882 0.1882 0.4355  6 Pt 2.70-2.72
Pt: 0.9379 0.4437 0.6805  6 Pt 2.72-2.79
Pt: 0.9379 0.9379 0.6805  6 Pt 2.72-2.79
Pt: 0.4437 0.9379 0.6805  6 Pt 2.72-2.79
Pt: 0.9337 0.4366 0.1932  6 Pt 2.70-2.78
Mg: 0.8739 0.8739 0.3783  12 Pt 3.13-3.23, 4 Sr 3.31-3.35
Sr: 0.3752 0.3752 0.8744  12 Pt 3.24-3.27, 4 Sr 3.41
Sr: 0.9971 0.9971 0.0088  12 Pt 3.22-3.35, 1 Mg 3.31, 3 Sr 3.41
Sr: 0.5019 0.5019 0.4944  12 Pt 3.13-3.23, 3 Mg 3.35, 1 Sr 3.41

Summary:
Crystal system: trigonal
E_form: -0.79 eV per atom